1.
Compound: KGeOs
Source: the Alexandria database
Functional: PBE-GGA
Structure: optimized geometry

The space group is Cmcm (No. 63) and the conventional cell measures 4.0925, 12.2960 and 5.5980 Å, with angles of 90.00, 90.00 and 90.00 degrees. Symmetry generates all atoms from K at (0.0000, 0.2334, 0.2500), Ge at (0.0000, 0.0234, 0.7500) and Os at (0.0000, 0.5000, 0.0000).

The calculation puts the excess energy over the best structure of this formula in the dataset at 131 meV/atom. As for the energy of formation: 252 meV per atom. The crystal system is orthorhombic.


2.
Compound: KGeOs3
Source: the Alexandria database
Functional: PBE-GGA
Structure: optimized geometry

The space group is Pm-3m (No. 221) and the conventional cell measures 4.6906, 4.6906 and 4.6906 Å, with angles of 90.00, 90.00 and 90.00 degrees. Symmetry generates all atoms from K at (0.0000, 0.0000, 0.0000), Ge at (0.5000, 0.5000, 0.5000) and Os at (0.0000, 0.5000, 0.5000).

The calculation puts the excess energy over the best structure of this formula in the dataset at 0 meV/atom. As for the energy of formation: 1834 meV per atom. The crystal system is cubic.


Question: Look up the excess energy over the best structure of this formula in the dataset of the second one.
Answer: 0 meV/atom


Question: The lowest excess energy over the best structure of this formula in the dataset belongs to which entry?
Answer: KGeOs3


Question: What is the excess energy over the best structure of this formula in the dataset in the first record?
Answer: 131 meV/atom